# 1
This record from Alexandria describes a relaxed Li2YAuO4 crystal. The functional is GGA-PBE.

a b c (Å): 6.112 6.112 6.978
angles (deg): 117.89 117.89 88.58
Fractional coordinates of all 16 atoms:
Li  0.500  0.000  0.000
Li  0.500  0.000  0.500
Li  0.000  0.000  0.500
Li  0.500  0.500  0.000
Y  0.000  0.500  0.000
Y  0.000  0.500  0.500
Au  0.500  0.500  0.500
Au  0.000  0.000  0.000
O  0.216  0.740  0.942
O  0.760  0.284  0.558
O  0.240  0.716  0.442
O  0.784  0.260  0.058
O  0.817  0.833  0.103
O  0.667  0.683  0.397
O  0.333  0.317  0.603
O  0.183  0.167  0.897

Output
**Total magnetization**: 0.0 μB per formula unit
**Formation energy without anion corrections**: -1820 meV per atom



# 2
This record from Alexandria describes a relaxed Li2ZnAuO crystal. The functional is GGA-PBE.

a b c (Å): 3.881 3.881 4.391
angles (deg): 90.00 90.00 90.00
Fractional coordinates of all 5 atoms:
Zn  0.000  0.000  0.500
Au  0.500  0.500  0.500
O  0.000  0.000  0.000
Li  0.000  0.500  0.000
Li  0.500  0.000  0.000

Output
**Total magnetization**: 0.0 μB per formula unit
**Formation energy without anion corrections**: -969 meV per atom



# 3
This record from Alexandria describes a relaxed Li2ZrAuO crystal. The functional is GGA-PBE.

a b c (Å): 4.086 4.086 4.350
angles (deg): 90.00 90.00 90.00
Fractional coordinates of all 5 atoms:
Au  0.500  0.500  0.500
O  0.000  0.000  0.000
Zr  0.000  0.000  0.500
Li  0.000  0.500  0.000
Li  0.500  0.000  0.000

Output
**Total magnetization**: 0.0 μB per formula unit
**Formation energy without anion corrections**: -1227 meV per atom



Total DFT energy (no corrections), record by record: -5.99; -3.64; -5.35 eV/atom